No. 1
Density functional theory data (PBE) for an optimized crystal structure of MgZn12Pd6.

a b c (Å): 6.6259 6.6259 6.6259
angles (deg): 91.31 91.31 91.31
Fractional positions:
Mg (0.0000, 0.0000, 0.0000)
Zn (0.4711, 0.1957, 0.5696)
Zn (0.1957, 0.5696, 0.4711)
Zn (0.5696, 0.4711, 0.1957)
Zn (0.5289, 0.8043, 0.4304)
Zn (0.8043, 0.4304, 0.5289)
Zn (0.4304, 0.5289, 0.8043)
Zn (0.8519, 0.9562, 0.6212)
Zn (0.3788, 0.1481, 0.0438)
Zn (0.0438, 0.3788, 0.1481)
Zn (0.1481, 0.0438, 0.3788)
Zn (0.6212, 0.8519, 0.9562)
Zn (0.9562, 0.6212, 0.8519)
Pd (0.1228, 0.2797, 0.7244)
Pd (0.7203, 0.2756, 0.8772)
Pd (0.2756, 0.8772, 0.7203)
Pd (0.8772, 0.7203, 0.2756)
Pd (0.2797, 0.7244, 0.1228)
Pd (0.7244, 0.1228, 0.2797)

Output
Magnetic moment: 0.00 Bohr magnetons per cell
Formation energy: -0.353 eV per atom
Excess energy over the best structure of this formula in the dataset: 0 meV/atom

***

No. 2
Density functional theory data (PBE) for an optimized crystal structure of Mg5Zn2Pd12.

a b c (Å): 7.5612 7.3289 6.4721
angles (deg): 90.41 90.00 121.05
Fractional positions:
Mg (0.2413, 0.4825, 0.5713)
Mg (0.3035, 0.6069, 0.0232)
Mg (0.0000, 0.0000, 0.5000)
Mg (0.6965, 0.3931, 0.9768)
Mg (0.7587, 0.5175, 0.4287)
Zn (0.7112, 0.0000, 0.0000)
Zn (0.2888, 0.0000, 0.0000)
Pd (0.9022, 0.8045, 0.1103)
Pd (0.0295, 0.6838, 0.7540)
Pd (0.6544, 0.6838, 0.7540)
Pd (0.1792, 0.7615, 0.3486)
Pd (0.5823, 0.7615, 0.3486)
Pd (0.4440, 0.8881, 0.6989)
Pd (0.5560, 0.1119, 0.3011)
Pd (0.8208, 0.2385, 0.6514)
Pd (0.4177, 0.2385, 0.6514)
Pd (0.9705, 0.3162, 0.2460)
Pd (0.3456, 0.3162, 0.2460)
Pd (0.0978, 0.1955, 0.8897)

Output
Magnetic moment: 0.00 Bohr magnetons per cell
Formation energy: -0.482 eV per atom

***

No. 3
Density functional theory data (PBE) for an optimized crystal structure of Mg6ZnPd2.

a b c (Å): 4.4943 6.3712 7.8053
angles (deg): 114.09 106.58 90.00
Fractional positions:
Mg (0.1704, 0.4252, 0.3410)
Mg (0.8296, 0.0842, 0.6590)
Mg (0.8296, 0.5748, 0.6590)
Mg (0.5000, 0.2594, 0.0000)
Mg (0.1704, 0.9158, 0.3410)
Mg (0.5000, 0.7406, 0.0000)
Zn (0.0000, 0.0000, 0.0000)
Pd (0.6669, 0.6669, 0.3338)
Pd (0.3331, 0.3331, 0.6662)

Output
Magnetic moment: 0.00 Bohr magnetons per cell
Formation energy: -0.268 eV per atom
Excess energy over the best structure of this formula in the dataset: 92 meV/atom